# 1
DFT (GGA-PBE) results for crystalline BaLa2InTc at its relaxed geometry.

Computed properties:
DOS(E_F), states/eV/atom: 0.682
Formation energy, eV/atom: -0.109
ρ, g/cm³: 6.24
Symmetry: P4/mmm, No. 123

a b c (Å): 5.4584 5.4584 5.6119
angles (deg): 90.00 90.00 90.00
Fractional positions:
Ba  0.0000  0.0000  0.0000
La  0.0000  0.5000  0.5000
La  0.5000  0.0000  0.5000
In  0.5000  0.5000  0.0000
Tc  0.5000  0.5000  0.5000



# 2
DFT (GGA-PBE) results for crystalline BaLaIn2Te4 at its relaxed geometry.

Computed properties:
DOS(E_F), states/eV/atom: 0.550
ρ, g/cm³: 5.56
Uncorrected formation energy, eV/atom: -0.98
Symmetry: P2/m, No. 10

a b c (Å): 8.1911 4.6677 8.3847
angles (deg): 90.00 108.78 90.00
Fractional positions:
Ba  0.0000  0.0000  0.0000
La  0.0000  0.5000  0.5000
In  0.5000  0.0000  0.5000
In  0.5000  0.5000  0.0000
Te  0.2431  0.0000  0.7241
Te  0.2585  0.5000  0.2785
Te  0.7415  0.5000  0.7215
Te  0.7569  0.0000  0.2759



# 3
DFT (GGA-PBE) results for crystalline Ba2LaInTe5 at its relaxed geometry.

Computed properties:
ρ, g/cm³: 5.56
Uncorrected formation energy, eV/atom: -1.35
Symmetry: Cmc2_1, No. 36

a b c (Å): 10.6798 10.6798 14.3115
angles (deg): 90.00 90.00 154.75
Fractional positions:
Ba  0.1179  0.8821  0.5000
Ba  0.1265  0.8735  0.1364
Ba  0.8735  0.1265  0.6364
Ba  0.8821  0.1179  0.0000
La  0.2087  0.7913  0.8364
La  0.7913  0.2087  0.3364
In  0.4426  0.5574  0.2554
In  0.5574  0.4426  0.7554
Te  0.0473  0.9527  0.8727
Te  0.2924  0.7076  0.4878
Te  0.3129  0.6871  0.1774
Te  0.3589  0.6411  0.8205
Te  0.4970  0.5030  0.5826
Te  0.5030  0.4970  0.0826
Te  0.6411  0.3589  0.3205
Te  0.6871  0.3129  0.6774
Te  0.7076  0.2924  0.9878
Te  0.9527  0.0473  0.3727



# 4
DFT (GGA-PBE) results for crystalline Ba2LaVIn at its relaxed geometry.

Computed properties:
DOS(E_F), states/eV/atom: 2.119
Formation energy, eV/atom: 0.854
ρ, g/cm³: 4.36
Symmetry: P4/mmm, No. 123

a b c (Å): 6.4728 6.4728 5.2603
angles (deg): 90.00 90.00 90.00
Fractional positions:
Ba  0.0000  0.5000  0.0000
Ba  0.5000  0.0000  0.0000
La  0.0000  0.0000  0.5000
V  0.5000  0.5000  0.5000
In  0.5000  0.5000  0.0000



# 5
DFT (GGA-PBE) results for crystalline BaLaIn2W at its relaxed geometry.

Computed properties:
DOS(E_F), states/eV/atom: 1.631
Formation energy, eV/atom: 2.252
ρ, g/cm³: 5.91
Symmetry: P4/mmm, No. 123

a b c (Å): 5.7655 5.7655 5.8286
angles (deg): 90.00 90.00 90.00
Fractional positions:
Ba  0.0000  0.0000  0.0000
La  0.0000  0.0000  0.5000
In  0.0000  0.5000  0.0000
In  0.5000  0.0000  0.0000
W  0.5000  0.5000  0.5000



# 6
DFT (GGA-PBE) results for crystalline BaLaZnIn at its relaxed geometry.

Computed properties:
DOS(E_F), states/eV/atom: 0.943
Formation energy, eV/atom: -0.265
ρ, g/cm³: 5.79
Symmetry: F-43m, No. 216

a b c (Å): 8.0620 8.0620 8.0620
angles (deg): 90.00 90.00 90.00
Fractional positions:
Ba  0.0000  0.0000  0.0000
Ba  0.0000  0.5000  0.5000
Ba  0.5000  0.0000  0.5000
Ba  0.5000  0.5000  0.0000
La  0.0000  0.0000  0.5000
La  0.0000  0.5000  0.0000
La  0.5000  0.0000  0.0000
La  0.5000  0.5000  0.5000
Zn  0.2500  0.2500  0.7500
Zn  0.2500  0.7500  0.2500
Zn  0.7500  0.2500  0.2500
Zn  0.7500  0.7500  0.7500
In  0.2500  0.2500  0.2500
In  0.2500  0.7500  0.7500
In  0.7500  0.2500  0.7500
In  0.7500  0.7500  0.2500



# 7
DFT (GGA-PBE) results for crystalline Ba5LiIn4 at its relaxed geometry.

Computed properties:
DOS(E_F), states/eV/atom: 0.832
Formation energy, eV/atom: -0.320
ρ, g/cm³: 4.82
Symmetry: P4/mmm, No. 123

a b c (Å): 4.3233 4.3233 21.2634
angles (deg): 90.00 90.00 90.00
Fractional positions:
Ba  0.0000  0.0000  0.0000
Ba  0.0000  0.0000  0.1979
Ba  0.0000  0.0000  0.3910
Ba  0.0000  0.0000  0.6090
Ba  0.0000  0.0000  0.8021
Li  0.5000  0.5000  0.5000
In  0.5000  0.5000  0.1017
In  0.5000  0.5000  0.2953
In  0.5000  0.5000  0.7047
In  0.5000  0.5000  0.8983



# 8
DFT (GGA-PBE) results for crystalline Ba3LiIn4 at its relaxed geometry.

Computed properties:
DOS(E_F), states/eV/atom: 0.500
Formation energy, eV/atom: -0.363
ρ, g/cm³: 5.12
Symmetry: Pmmn, No. 59

a b c (Å): 6.4502 12.8466 6.8791
angles (deg): 90.00 90.00 90.00
Fractional positions:
Ba  0.2500  0.0052  0.1830
Ba  0.2500  0.4948  0.1830
Ba  0.2500  0.7500  0.5419
Ba  0.7500  0.2500  0.4581
Ba  0.7500  0.5052  0.8170
Ba  0.7500  0.9948  0.8170
Li  0.2500  0.2500  0.3188
Li  0.7500  0.7500  0.6812
In  0.0026  0.7500  0.0271
In  0.2500  0.1252  0.6722
In  0.2500  0.3748  0.6722
In  0.4974  0.7500  0.0271
In  0.5026  0.2500  0.9729
In  0.7500  0.6252  0.3278
In  0.7500  0.8748  0.3278
In  0.9974  0.2500  0.9729



# 9
DFT (GGA-PBE) results for crystalline Ba2LiIn6 at its relaxed geometry.

Computed properties:
DOS(E_F), states/eV/atom: 0.574
Formation energy, eV/atom: -0.349
ρ, g/cm³: 5.95
Symmetry: P-3m1, No. 164

a b c (Å): 6.7873 6.7873 6.7939
angles (deg): 90.00 90.00 120.00
Fractional positions:
Ba  0.3333  0.6667  0.3533
Ba  0.6667  0.3333  0.6467
Li  0.0000  0.0000  0.5000
In  0.1724  0.3448  0.8297
In  0.1724  0.8276  0.8297
In  0.3448  0.1724  0.1703
In  0.6552  0.8276  0.8297
In  0.8276  0.1724  0.1703
In  0.8276  0.6552  0.1703



# 10
DFT (GGA-PBE) results for crystalline Ba6LiIn5 at its relaxed geometry.

Computed properties:
DOS(E_F), states/eV/atom: 0.749
Formation energy, eV/atom: -0.339
ρ, g/cm³: 4.94
Symmetry: Cmmm, No. 65

a b c (Å): 9.5237 9.5237 8.6755
angles (deg): 90.00 90.00 143.11
Fractional positions:
Ba  0.0000  0.0000  0.2441
Ba  0.0000  0.0000  0.7559
Ba  0.3311  0.6689  0.2475
Ba  0.3311  0.6689  0.7525
Ba  0.6689  0.3311  0.2475
Ba  0.6689  0.3311  0.7525
Li  0.5000  0.5000  0.5000
In  0.1642  0.8358  0.0000
In  0.1661  0.8339  0.5000
In  0.5000  0.5000  0.0000
In  0.8339  0.1661  0.5000
In  0.8358  0.1642  0.0000



# 11
DFT (GGA-PBE) results for crystalline Ba2LiIn2 at its relaxed geometry.

Computed properties:
DOS(E_F), states/eV/atom: 0.947
Formation energy, eV/atom: -0.309
ρ, g/cm³: 4.61
Symmetry: Immm, No. 71

a b c (Å): 5.0852 6.5584 11.0543
angles (deg): 90.00 90.00 90.00
Fractional positions:
Ba  0.0000  0.0000  0.1845
Ba  0.0000  0.0000  0.8155
Ba  0.5000  0.5000  0.3155
Ba  0.5000  0.5000  0.6845
Li  0.0000  0.5000  0.0000
Li  0.5000  0.0000  0.5000
In  0.0000  0.2299  0.5000
In  0.0000  0.7701  0.5000
In  0.5000  0.2701  0.0000
In  0.5000  0.7299  0.0000



# 12
DFT (GGA-PBE) results for crystalline Ba3Li2In5 at its relaxed geometry.

Computed properties:
DOS(E_F), states/eV/atom: 0.600
Formation energy, eV/atom: -0.373
ρ, g/cm³: 5.27
Symmetry: P4/mbm, No. 127

a b c (Å): 11.9206 11.9206 4.4365
angles (deg): 90.00 90.00 90.00
Fractional positions:
Ba  0.0000  0.0000  0.0000
Ba  0.1832  0.3168  0.0000
Ba  0.3168  0.8168  0.0000
Ba  0.5000  0.5000  0.0000
Ba  0.6832  0.1832  0.0000
Ba  0.8168  0.6832  0.0000
Li  0.1074  0.6074  0.0000
Li  0.3926  0.1074  0.0000
Li  0.6074  0.8926  0.0000
Li  0.8926  0.3926  0.0000
In  0.0000  0.5000  0.5000
In  0.0661  0.7600  0.5000
In  0.2400  0.0661  0.5000
In  0.2600  0.5661  0.5000
In  0.4339  0.2600  0.5000
In  0.5000  0.0000  0.5000
In  0.5661  0.7400  0.5000
In  0.7400  0.4339  0.5000
In  0.7600  0.9339  0.5000
In  0.9339  0.2400  0.5000



| no. | M_tot (μB per formula unit) |
| --- | --- |
| 1 | 0.00 |
| 2 | 0.00 |
| 3 | 0.00 |
| 4 | 0.49 |
| 5 | 0.33 |
| 6 | 0.00 |
| 7 | 0.00 |
| 8 | 0.00 |
| 9 | 0.00 |
| 10 | 0.00 |
| 11 | 0.00 |
| 12 | 0.00 |